# NaLuSiPd, optimized geometry, DFT PBE
data_NaLuSiPd
_chemical_formula_sum 'Na1 Lu1 Si1 Pd1'
_cell_length_a 4.651
_cell_length_b 4.651
_cell_length_c 4.651
_cell_angle_alpha 60.00
_cell_angle_beta 60.00
_cell_angle_gamma 60.00
_symmetry_space_group_name_H-M 'P 1'
_symmetry_Int_Tables_number 1
loop_
_symmetry_equiv_pos_as_xyz
'x,y,z'
loop_
_atom_site_label
_atom_site_type_symbol
_atom_site_fract_x
_atom_site_fract_y
_atom_site_fract_z
Na1 Na 0.750 0.750 0.750
Lu1 Lu 0.500 0.500 0.500
Pd1 Pd 0.250 0.250 0.250
Si1 Si 0.000 0.000 0.000
# - calculated volume (A^3/atom) = 17.8
# - offset from the most stable computed form (eV per atom) = 0.0000
# - SG = F-43m
# - calculated density (g/cm3) = 7.8